A geometry-optimized TiCo2ReH structure, computed with PBE.

Output
polymorph energy (0 for the lowest one) = 0 meV/atom
total energy = -38.690 eV/cell
calculated volume = 52 Å³ per cell
D(E_F) = 0.621 states/eV per atom

Lattice parameters (Å, degrees): 3.669 3.669 3.886 90.00 90.00 90.00
Atoms (fractional coordinates):
H 0.000 0.000 0.000
Co 0.000 0.500 0.000
Ti 0.000 0.000 0.500
Co 0.500 0.000 0.000
Re 0.500 0.500 0.500

***

A geometry-optimized ZrV5Fe2 structure, computed with PBE.

Output
total energy = -70.333 eV/cell
calculated volume = 117 Å³ per cell
D(E_F) = 0.911 states/eV per atom
energy relative to the elements = 91.7 meV/atom

Lattice parameters (Å, degrees): 4.031 5.840 5.840 69.61 69.81 69.81
Atoms (fractional coordinates):
V 0.652 0.157 0.538
V 0.348 0.462 0.843
Fe 0.736 0.764 0.764
V 0.000 0.500 0.500
V 0.652 0.538 0.157
Zr 0.000 0.000 0.000
Fe 0.264 0.236 0.236
V 0.348 0.843 0.462

***

A geometry-optimized Li6Pd2Au3 structure, computed with PBE.

Output
total energy = -33.812 eV/cell
calculated volume = 202 Å³ per cell
D(E_F) = 0.430 states/eV per atom
energy relative to the elements = -191.9 meV/atom

Lattice parameters (Å, degrees): 4.656 4.656 9.891 103.61 103.61 90.00
Atoms (fractional coordinates):
Au 0.846 0.846 0.692
Li 0.707 0.707 0.415
Li 0.415 0.915 0.829
Li 0.585 0.085 0.171
Li 0.915 0.415 0.829
Au 0.000 0.000 0.000
Li 0.085 0.585 0.171
Au 0.154 0.154 0.308
Li 0.293 0.293 0.585
Pd 0.431 0.431 0.862
Pd 0.569 0.569 0.138

***

A geometry-optimized PrDyIn4 structure, computed with PBE.

Output
polymorph energy (0 for the lowest one) = 0 meV/atom
total energy = -22.613 eV/cell
calculated volume = 157 Å³ per cell
D(E_F) = 0.733 states/eV per atom
energy relative to the elements = -379.6 meV/atom

Lattice parameters (Å, degrees): 6.056 6.056 6.056 60.00 60.00 60.00
Atoms (fractional coordinates):
In 0.125 0.625 0.625
In 0.625 0.625 0.125
Pr 0.250 0.250 0.250
Dy 0.000 0.000 0.000
In 0.625 0.625 0.625
In 0.625 0.125 0.625

***

A geometry-optimized Mg2AgSb structure, computed with PBE.

Output
polymorph energy (0 for the lowest one) = 35 meV/atom
total energy = -10.792 eV/cell
calculated volume = 86 Å³ per cell
D(E_F) = 0.212 states/eV per atom
formation energy without anion corrections = -0.157 eV per atom

Lattice parameters (Å, degrees): 3.562 3.562 6.784 90.00 90.00 90.00
Atoms (fractional coordinates):
Ag 0.500 0.500 0.750
Sb 0.500 0.500 0.250
Mg 0.000 0.000 0.975
Mg 0.000 0.000 0.525

***

A geometry-optimized CaI2NO structure, computed with PBE.

Output
polymorph energy (0 for the lowest one) = 213 meV/atom
total energy = -15.849 eV/cell
calculated volume = 146 Å³ per cell
D(E_F) = 1.722 states/eV per atom
formation energy without anion corrections = 0.507 eV per atom

Lattice parameters (Å, degrees): 5.971 5.971 4.091 90.00 90.00 90.00
Atoms (fractional coordinates):
Ca 0.000 0.000 0.000
I 0.500 0.000 0.000
I 0.000 0.500 0.000
O 0.000 0.000 0.500
N 0.500 0.500 0.500

***

A geometry-optimized Mg2NpHgO6 structure, computed with PBE.

Output
total energy = -68.162 eV/cell
calculated volume = 129 Å³ per cell
D(E_F) = 0.082 states/eV per atom
formation energy without anion corrections = -2.198 eV per atom

Lattice parameters (Å, degrees): 5.493 5.493 5.869 62.09 62.09 60.01
Atoms (fractional coordinates):
Mg 0.527 0.527 0.419
O 0.247 0.921 0.233
Hg 0.800 0.800 0.601
Mg 0.011 0.011 0.967
O 0.370 0.719 0.763
O 0.719 0.149 0.763
O 0.598 0.247 0.233
O 0.149 0.370 0.763
Np 0.320 0.320 0.039
O 0.922 0.598 0.233

***

A geometry-optimized RbY2In2 structure, computed with PBE.

Output
polymorph energy (0 for the lowest one) = 102 meV/atom
total energy = -39.698 eV/cell
calculated volume = 322 Å³ per cell
D(E_F) = 0.910 states/eV per atom
energy relative to the elements = -95.3 meV/atom

Lattice parameters (Å, degrees): 9.480 9.480 3.581 90.00 90.00 90.00
Atoms (fractional coordinates):
Rb 0.500 0.500 0.000
Y 0.833 0.333 0.500
Rb 0.000 0.000 0.000
In 0.376 0.876 0.000
Y 0.167 0.667 0.500
In 0.876 0.624 0.000
In 0.624 0.124 0.000
Y 0.333 0.167 0.500
In 0.124 0.376 0.000
Y 0.667 0.833 0.500

***

A geometry-optimized Pm2Al3Ru2 structure, computed with PBE.

Output
total energy = -43.145 eV/cell
calculated volume = 140 Å³ per cell
D(E_F) = 0.694 states/eV per atom
energy relative to the elements = -552.1 meV/atom

Lattice parameters (Å, degrees): 4.054 5.601 7.337 113.65 90.00 111.22
Atoms (fractional coordinates):
Pm 0.857 0.713 0.235
Pm 0.143 0.287 0.765
Al 0.355 0.711 0.563
Ru 0.870 0.740 0.794
Al 0.645 0.289 0.437
Ru 0.130 0.260 0.206
Al 0.500 0.000 0.000

***

A geometry-optimized BaLi2Zn structure, computed with PBE.

Output
total energy = -6.713 eV/cell
calculated volume = 111 Å³ per cell
D(E_F) = 0.822 states/eV per atom
energy relative to the elements = 77.9 meV/atom

Lattice parameters (Å, degrees): 5.705 5.705 5.705 128.38 128.38 76.01
Atoms (fractional coordinates):
Zn 0.250 0.750 0.500
Li 0.000 0.000 0.000
Ba 0.750 0.250 0.500
Li 0.500 0.500 0.000